[1]
ReNiW3 | PBE | relaxed

Summary:
calculated density: 12.57 Mg/m³
distance to the lowest polymorph of the same formula: 2.87 eV per formula unit
uncorrected energy: -9.1851 eV/atom

a = 4.721 Å, b = 4.721 Å, c = 4.721 Å
α = 90.00°, β = 90.00°, γ = 90.00°
Space group Pm-3m (No. 221)
Asymmetric unit:
Re 0.000 0.000 0.000 (multiplicity 1)
Ni 0.500 0.500 0.500 (multiplicity 1)
W 0.000 0.000 0.500 (multiplicity 3)

[2]
ReNiW3 | PBE | relaxed

Summary:
calculated density: 15.36 Mg/m³
distance to the lowest polymorph of the same formula: 0.00 eV per formula unit
uncorrected energy: -9.7597 eV/atom

a = 4.416 Å, b = 4.416 Å, c = 4.416 Å
α = 90.00°, β = 90.00°, γ = 90.00°
Space group Pm-3m (No. 221)
Asymmetric unit:
Re 0.000 0.000 0.000 (multiplicity 1)
Ni 0.500 0.500 0.500 (multiplicity 1)
W 0.000 0.500 0.500 (multiplicity 3)

[3]
ReNiW | PBE | relaxed

Summary:
calculated density: 16.93 Mg/m³
distance to the lowest polymorph of the same formula: 0.05 eV per formula unit
uncorrected energy: -10.2942 eV/atom

a = 4.808 Å, b = 8.283 Å, c = 16.900 Å
α = 90.00°, β = 90.00°, γ = 90.00°
Space group Fddd (No. 70, origin choice 2)
Asymmetric unit:
Re 0.125 0.125 0.051 (multiplicity 16)
Ni 0.125 0.125 0.501 (multiplicity 16)
W 0.125 0.296 0.625 (multiplicity 16)

- What is the formula in the third record?
  ReNiW

- The lowest calculated density belongs to which entry?
  number 1

- distance to the lowest polymorph of the same formula of number 1 (ReNiW3)?
  2.87 eV per formula unit

- uncorrected energy of number 1 (ReNiW3)?
  -9.1851 eV/atom